Record 1
First-principles (GGA-PBE) data for an optimized crystal structure of ZnCo3Ag, as listed in the Alexandria database.

Calculated values
Density ... 5.82 g/cm3
Total magnetization ... 1.140 μB per atom
Formation energy from the elements ... 8.421 eV/f.u.
E_tot ... -17.0 eV for the cell shown
D(E_F) ... 2.529 states/eV per atom

Lattice parameters (Å, degrees): 4.6402 4.6402 4.6402 90.00 90.00 90.00
Last column: nearest neighbours and their distance in Å.
Space group Pm-3m (No. 221)
Asymmetric unit:
1 Zn 0.0000 0.0000 0.0000 [1 per cell]  12 Co 3.28
2 Co 0.0000 0.5000 0.5000 [3 per cell]  2 Ag 2.32
3 Ag 0.5000 0.5000 0.5000 [1 per cell]  6 Co 2.32



Record 2
First-principles (GGA-PBE) data for an optimized crystal structure of AcTh3O8, as listed in the Alexandria database.

Calculated values
Formation energy from raw total energies ... -3.575 eV/atom
Density ... 9.46 g/cm3
Total magnetization ... 0.000 μB per atom
E_tot ... -108.9 eV for the cell shown
D(E_F) ... 0.858 states/eV per atom

Lattice parameters (Å, degrees): 5.6929 5.6929 5.6929 90.00 90.00 90.00
Last column: nearest neighbours and their distance in Å.
Space group Pm-3m (No. 221)
Asymmetric unit:
1 Ac 0.0000 0.0000 0.0000 [1 per cell]  8 O 2.54
2 Th 0.0000 0.5000 0.5000 [3 per cell]  8 O 2.44
3 O 0.2577 0.2577 0.2577 [8 per cell]  3 Th 2.44, 1 Ac 2.54



Record 3
First-principles (GGA-PBE) data for an optimized crystal structure of KTa2Rh, as listed in the Alexandria database.

Calculated values
Density ... 8.64 g/cm3
Total magnetization ... 0.000 μB per atom
Formation energy from the elements ... 2.217 eV/f.u.
E_tot ... -29.9 eV for the cell shown
D(E_F) ... 1.036 states/eV per atom

Lattice parameters (Å, degrees): 2.8495 3.9511 8.6023 90.00 90.00 90.00
Last column: nearest neighbours and their distance in Å.
Space group Pmmm (No. 47)
Asymmetric unit:
1 K 0.0000 0.0000 0.0000 [1 per cell]  2 K 2.85
2 Ta 0.5000 0.5000 0.3496 [2 per cell]  3 Ta 2.59-2.85, 4 Rh 2.76
3 Rh 0.0000 0.0000 0.5000 [1 per cell]  8 Ta 2.76, 2 Rh 2.85



Record 4
First-principles (GGA-PBE) data for an optimized crystal structure of NdMnFeGe2, as listed in the Alexandria database.

Calculated values
Density ... 7.69 g/cm3
Total magnetization ... 0.566 μB per atom
Formation energy from the elements ... -2.341 eV/f.u.
E_tot ... -68.0 eV for the cell shown
D(E_F) ... 0.449 states/eV per atom

Lattice parameters (Å, degrees): 4.0197 4.0197 10.7055 90.00 90.00 90.00
Last column: nearest neighbours and their distance in Å.
Space group I-4m2 (No. 119)
Asymmetric unit:
1 Nd 0.0000 0.0000 0.0000 [2 per cell]  8 Ge 3.15, 4 Mn 3.35, 4 Fe 3.35
2 Mn 0.0000 0.5000 0.7500 [2 per cell]  4 Ge 2.41
3 Fe 0.0000 0.5000 0.2500 [2 per cell]  4 Ge 2.41
4 Ge 0.0000 0.0000 0.3742 [4 per cell]  2 Mn 2.41, 2 Fe 2.41, 1 Ge 2.69



Record 5
First-principles (GGA-PBE) data for an optimized crystal structure of Ca2GaAg2, as listed in the Alexandria database.

Calculated values
Density ... 4.90 g/cm3
Total magnetization ... 0.000 μB per atom
Formation energy from the elements ... -1.751 eV/f.u.
E_tot ... -57.9 eV for the cell shown
D(E_F) ... 0.533 states/eV per atom

Lattice parameters (Å, degrees): 11.2158 4.4123 11.2081 90.00 116.77 90.00
Last column: nearest neighbours and their distance in Å.
Space group C2/m (No. 12)
Asymmetric unit:
1 Ca 0.0054 0.0000 0.3352 [4 per cell]  4 Ga 3.18-3.52, 7 Ag 3.19-3.55
2 Ca 0.1914 0.0000 0.1122 [4 per cell]  6 Ag 3.22-3.28, 2 Ga 3.36
3 Ga 0.2149 0.5000 0.3479 [4 per cell]  4 Ag 2.63-2.84
4 Ag 0.0190 0.5000 0.8829 [4 per cell]  1 Ga 2.73, 1 Ag 2.84
5 Ag 0.1455 0.5000 0.5619 [4 per cell]  3 Ga 2.63-2.84, 1 Ag 2.91



Record 6
First-principles (GGA-PBE) data for an optimized crystal structure of Nd2SmZnN, as listed in the Alexandria database.

Calculated values
Formation energy from raw total energies ... -0.643 eV/atom
Density ... 7.03 g/cm3
Total magnetization ... 0.000 μB per atom
E_tot ... -27.1 eV for the cell shown
D(E_F) ... 1.051 states/eV per atom

Lattice parameters (Å, degrees): 4.9997 4.9997 4.8981 90.00 90.00 90.00
Last column: nearest neighbours and their distance in Å.
Space group P4/mmm (No. 123)
Asymmetric unit:
1 Nd 0.0000 0.5000 0.0000 [2 per cell]  2 N 2.50
2 Sm 0.0000 0.0000 0.5000 [1 per cell]  2 N 2.45
3 Zn 0.5000 0.5000 0.5000 [1 per cell]  8 Nd 3.50, 4 Sm 3.54
4 N 0.0000 0.0000 0.0000 [1 per cell]  2 Sm 2.45, 4 Nd 2.50



Record 7
First-principles (GGA-PBE) data for an optimized crystal structure of SrZrAg, as listed in the Alexandria database.

Calculated values
Density ... 5.63 g/cm3
Total magnetization ... 0.392 μB per atom
Formation energy from the elements ... 0.564 eV/f.u.
E_tot ... -25.0 eV for the cell shown
D(E_F) ... 1.152 states/eV per atom

Lattice parameters (Å, degrees): 3.6385 3.6385 12.7777 90.00 90.00 90.00
Last column: nearest neighbours and their distance in Å.
Space group P4/mmm (No. 123)
Asymmetric unit:
1 Sr 0.0000 0.0000 0.1695 [2 per cell]  4 Ag 3.36, 4 Sr 3.64, 4 Zr 3.73
2 Zr 0.5000 0.5000 0.3807 [2 per cell]  4 Ag 2.99, 1 Zr 3.05
3 Ag 0.0000 0.0000 0.5000 [1 per cell]  8 Zr 2.99
4 Ag 0.5000 0.5000 0.0000 [1 per cell]  8 Sr 3.36, 4 Ag 3.64



Record 8
First-principles (GGA-PBE) data for an optimized crystal structure of Cs4K2SiAs2, as listed in the Alexandria database.

Calculated values
Formation energy from raw total energies ... -0.125 eV/atom
Density ... 2.05 g/cm3
Total magnetization ... 0.030 μB per atom
E_tot ... -42.9 eV for the cell shown
D(E_F) ... 0.570 states/eV per atom

Lattice parameters (Å, degrees): 22.8133 10.3756 5.4290 90.00 96.29 90.00
Last column: nearest neighbours and their distance in Å.
Space group C2/m (No. 12)
Asymmetric unit:
1 Cs 0.1017 0.2455 0.4163 [8 per cell]  2 As 3.71-3.75, 1 Si 3.98
2 K 0.2457 0.0000 0.0109 [4 per cell]  1 As 3.51
3 Si 0.0000 0.0000 0.0000 [2 per cell]  2 As 2.19
4 As 0.0910 0.0000 0.9070 [4 per cell]  1 Si 2.19



Record 9
First-principles (GGA-PBE) data for an optimized crystal structure of La2Pm6Dy, as listed in the Alexandria database.

Calculated values
Density ... 6.89 g/cm3
Total magnetization ... 0.000 μB per atom
Formation energy from the elements ... 0.554 eV/f.u.
E_tot ... -42.4 eV for the cell shown
D(E_F) ... 1.768 states/eV per atom

Lattice parameters (Å, degrees): 3.6583 3.6583 27.2303 90.00 90.00 120.00
Last column: nearest neighbours and their distance in Å.
Space group P-6m2 (No. 187)
Asymmetric unit:
1 La 0.0000 0.0000 0.1708 [2 per cell]  6 Pm 3.64-3.77, 6 La 3.66
2 Pm 0.0000 0.0000 0.3938 [2 per cell]  3 Dy 3.58, 9 Pm 3.62-3.66
3 Pm 0.6667 0.3333 0.0621 [2 per cell]  7 Pm 3.38-3.66, 3 La 3.64
4 Pm 0.6667 0.3333 0.2857 [2 per cell]  9 Pm 3.62-3.66, 3 La 3.77
5 Dy 0.6667 0.3333 0.5000 [1 per cell]  6 Pm 3.58, 6 Dy 3.66



Record 10
First-principles (GGA-PBE) data for an optimized crystal structure of BePb2, as listed in the Alexandria database.

Calculated values
Density ... 8.80 g/cm3
Total magnetization ... 0.000 μB per atom
Formation energy from the elements ... 2.544 eV/f.u.
E_tot ... -8.6 eV for the cell shown
D(E_F) ... 0.675 states/eV per atom

Lattice parameters (Å, degrees): 5.4037 5.4037 3.1610 90.00 90.00 120.00
Last column: nearest neighbours and their distance in Å.
Space group P6/mmm (No. 191)
Asymmetric unit:
1 Be 0.0000 0.0000 0.0000 [1 per cell]  2 Be 3.16, 12 Pb 3.50
2 Pb 0.3333 0.6667 0.5000 [2 per cell]  5 Pb 3.12-3.16



Record 11
First-principles (GGA-PBE) data for an optimized crystal structure of ReH3Cl, as listed in the Alexandria database.

Calculated values
Density ... 7.30 g/cm3
Total magnetization ... 0.600 μB per atom
E_tot ... -20.4 eV for the cell shown
D(E_F) ... 0.005 states/eV per atom

Lattice parameters (Å, degrees): 3.7119 3.7119 3.7119 90.00 90.00 90.00
Last column: nearest neighbours and their distance in Å.
Space group Pm-3m (No. 221)
Asymmetric unit:
1 Re 0.0000 0.0000 0.0000 [1 per cell]  6 H 1.86
2 H 0.0000 0.0000 0.5000 [3 per cell]  2 Re 1.86
3 Cl 0.5000 0.5000 0.5000 [1 per cell]  12 H 2.62



Record 12
First-principles (GGA-PBE) data for an optimized crystal structure of HgSe2Cl6, as listed in the Alexandria database.

Calculated values
Formation energy from raw total energies ... -0.332 eV/atom
Density ... 2.78 g/cm3
Total magnetization ... 0.000 μB per atom
E_tot ... -42.7 eV for the cell shown
D(E_F) ... 0.000 states/eV per atom

Lattice parameters (Å, degrees): 8.1948 8.3281 11.0462 69.53 75.66 82.36
Last column: nearest neighbours and their distance in Å.
Space group P-1 (No. 2)
Asymmetric unit:
1 Hg 0.2392 0.4522 0.0369 [2 per cell]  2 Cl 2.32
2 Se 0.2971 0.0719 0.4906 [2 per cell]  2 Cl 2.20-2.36
3 Se 0.3137 0.9173 0.3132 [2 per cell]  2 Cl 2.16-2.24
4 Cl 0.0074 0.5899 0.1352 [2 per cell]  1 Hg 2.32
5 Cl 0.0941 0.0331 0.2183 [2 per cell]  1 Se 2.24
6 Cl 0.2109 0.6825 0.4582 [2 per cell]  1 Se 2.16
7 Cl 0.3336 0.1927 0.6457 [2 per cell]  1 Se 2.36
8 Cl 0.4212 0.2780 0.3184 [2 per cell]  1 Se 2.20
9 Cl 0.4756 0.3146 0.9423 [2 per cell]  1 Hg 2.32



- Look up the E_tot of the twelfth one.
  -42.7 eV for the cell shown



- The highest total magnetization belongs to which entry?
  ZnCo3Ag